DFT (PBE with a Hubbard U) results for an optimized crystal structure of CrWSO2.

Density of states at the Fermi level   1.4 states/eV per cell
Calculated density   6.8 g cm⁻³
Total magnetic moment   0.8 μB/cell
Total DFT energy (no corrections)   -5.102 eV per atom

Unit cell a=3.859 b=3.859 c=4.919 alpha=90.00 beta=90.00 gamma=90.00
Atoms (fractional coordinates):
Cr 0.000 0.000 0.000
W 0.500 0.500 0.000
S 0.500 0.500 0.500
O 0.000 0.500 0.500
O 0.500 0.000 0.500